1.
## Cs2DyGaI6 (PBE)

Data for a relaxed structure of Cs2DyGaI6.

Values from the calculation:
* VASP energy: -3.127 eV per atom
* crystal system: orthorhombic
* energy relative to the elements, uncorrected: -12.6 eV per formula unit

Lattice parameters (Å, degrees): 8.8266 12.4922 8.8331 90.00 90.00 90.00
Space group Pmmn (No. 59, origin choice 2)
Symmetry-distinct sites (fractional):
1 Cs 0.2500 0.0008 0.2478
2 Dy 0.2500 0.7500 0.7510
3 Ga 0.2500 0.2500 0.7488
4 I 0.0072 0.7500 0.5089
5 I 0.0074 0.7500 0.9937
6 I 0.2500 0.5077 0.7518

2.
## AlCu2Pt5 (PBE)

Data for a relaxed structure of AlCu2Pt5.

Values from the calculation:
* VASP energy: -5.691 eV per atom
* formation enthalpy at 0 K: -0.423 eV per atom
* crystal system: orthorhombic

Lattice parameters (Å, degrees): 5.4473 10.7648 3.9653 90.00 90.00 90.00
Space group Pbam (No. 55)
Symmetry-distinct sites (fractional):
1 Al 0.0000 0.0000 0.0000
2 Cu 0.2110 0.3665 0.5000
3 Pt 0.0000 0.5000 0.0000
4 Pt 0.0385 0.7585 0.0000
5 Pt 0.2122 0.1118 0.5000

3.
## LiErMgTl2 (PBE)

Data for a relaxed structure of LiErMgTl2.

Values from the calculation:
* VASP energy: -2.674 eV per atom
* formation enthalpy at 0 K: -0.113 eV per atom
* crystal system: orthorhombic

Lattice parameters (Å, degrees): 5.6612 6.6302 6.3820 90.00 90.00 90.00
Space group Pmma (No. 51)
Symmetry-distinct sites (fractional):
1 Li 0.0000 0.0000 0.0000
2 Er 0.2500 0.5000 0.2144
3 Mg 0.2500 0.0000 0.3717
4 Tl 0.2500 0.2668 0.7355

4.
## Sr11Cd9Ag4 (PBE)

Data for a relaxed structure of Sr11Cd9Ag4.

Values from the calculation:
* VASP energy: -1.882 eV per atom
* formation enthalpy at 0 K: -0.292 eV per atom
* crystal system: orthorhombic

Lattice parameters (Å, degrees): 15.5921 23.3193 4.2063 90.00 90.00 90.00
Space group Cmmm (No. 65)
Symmetry-distinct sites (fractional):
1 Sr 0.0000 0.0000 0.0000
2 Sr 0.0000 0.1677 0.0000
3 Sr 0.0000 0.3614 0.0000
4 Sr 0.2158 0.5000 0.0000
5 Sr 0.2407 0.1709 0.0000
6 Cd 0.0000 0.5000 0.5000
7 Cd 0.1102 0.2636 0.5000
8 Cd 0.1367 0.0753 0.5000
9 Ag 0.1457 0.4036 0.5000

5.
## ZnAs2PBr (PBE)

Data for a relaxed structure of ZnAs2PBr.

Values from the calculation:
* VASP energy: -2.628 eV per atom
* crystal system: tetragonal
* E above lowest polymorph: 1.20 eV/f.u.
* energy relative to the elements, uncorrected: 4.5 eV per formula unit

Lattice parameters (Å, degrees): 4.9080 4.9080 4.8635 90.00 90.00 90.00
Space group P4/mmm (No. 123)
Symmetry-distinct sites (fractional):
1 Zn 0.0000 0.0000 0.0000
2 As 0.0000 0.5000 0.0000
3 P 0.5000 0.5000 0.5000
4 Br 0.0000 0.0000 0.5000

6.
## NaSr2PaSe4 (PBE)

Data for a relaxed structure of NaSr2PaSe4.

Values from the calculation:
* VASP energy: -5.123 eV per atom
* crystal system: monoclinic
* energy relative to the elements, uncorrected: -12.9 eV per formula unit

Lattice parameters (Å, degrees): 7.4709 4.2676 7.5168 90.00 108.71 90.00
Space group P2/m (No. 10)
Symmetry-distinct sites (fractional):
1 Na 0.0000 0.0000 0.0000
2 Sr 0.5000 0.0000 0.5000
3 Sr 0.5000 0.5000 0.0000
4 Pa 0.0000 0.5000 0.5000
5 Se 0.2341 0.0000 0.7396
6 Se 0.2347 0.5000 0.2582

7.
## Ta4NbS (PBE)

Data for a relaxed structure of Ta4NbS.

Values from the calculation:
* VASP energy: -10.291 eV per atom
* crystal system: triclinic
* energy relative to the elements, uncorrected: -0.1 eV per formula unit

Lattice parameters (Å, degrees): 5.6709 5.9522 7.2044 72.51 72.06 89.05
Space group P-1 (No. 2)
Symmetry-distinct sites (fractional):
1 Ta 0.0185 0.4956 0.3123
2 Ta 0.1982 0.9099 0.8369
3 Ta 0.1990 0.9211 0.3523
4 Ta 0.3897 0.3709 0.9114
5 Nb 0.4067 0.2843 0.4655
6 S 0.0000 0.5000 0.0000
7 S 0.5000 0.0000 0.0000

8.
## Mg5Ni9P7 (PBE)

Data for a relaxed structure of Mg5Ni9P7.

Values from the calculation:
* VASP energy: -5.253 eV per atom
* formation enthalpy at 0 K: -0.592 eV per atom
* crystal system: hexagonal

Lattice parameters (Å, degrees): 9.3250 9.3250 3.6508 90.00 90.00 120.00
Space group P-6 (No. 174)
Symmetry-distinct sites (fractional):
1 Mg 0.0000 0.0000 0.0000
2 Mg 0.1059 0.5605 0.5000
3 Mg 0.6667 0.3333 0.5000
4 Ni 0.1699 0.3756 0.0000
5 Ni 0.2785 0.0601 0.5000
6 Ni 0.4065 0.3071 0.0000
7 P 0.0471 0.8040 0.5000
8 P 0.3333 0.6667 0.0000
9 P 0.4460 0.0929 0.0000

9.
## Sr2CaHo (PBE)

Data for a relaxed structure of Sr2CaHo.

Values from the calculation:
* VASP energy: -2.175 eV per atom
* formation enthalpy at 0 K: 0.311 eV per atom
* crystal system: trigonal
* E above lowest polymorph: 0.61 eV/f.u.

Lattice parameters (Å, degrees): 3.8336 3.8336 41.4478 90.00 90.00 120.00
Space group R-3m (No. 166, hexagonal axes)
Symmetry-distinct sites (fractional):
1 Sr 0.0000 0.0000 0.0856
2 Ca 0.0000 0.0000 0.5000
3 Ho 0.0000 0.0000 0.0000

10.
## Mn2SiPd2 (PBE)

Data for a relaxed structure of Mn2SiPd2.

Values from the calculation:
* VASP energy: -6.898 eV per atom
* crystal system: tetragonal
* energy relative to the elements, uncorrected: -0.3 eV per formula unit

Lattice parameters (Å, degrees): 6.2595 6.2595 4.0804 90.00 90.00 90.00
Space group P4/mbm (No. 127)
Symmetry-distinct sites (fractional):
1 Mn 0.1617 0.3383 0.0000
2 Si 0.0000 0.0000 0.5000
3 Pd 0.1502 0.6502 0.5000

11.
## Tb2Cu3Ge4Ir (PBE)

Data for a relaxed structure of Tb2Cu3Ge4Ir.

Values from the calculation:
* VASP energy: -5.412 eV per atom
* formation enthalpy at 0 K: -0.524 eV per atom
* crystal system: tetragonal

Lattice parameters (Å, degrees): 4.1207 4.1207 10.2622 90.00 90.00 90.00
Space group P-4m2 (No. 115)
Symmetry-distinct sites (fractional):
1 Tb 0.0000 0.5000 0.2475
2 Cu 0.0000 0.0000 0.0000
3 Cu 0.0000 0.5000 0.6344
4 Ge 0.0000 0.0000 0.5000
5 Ge 0.0000 0.5000 0.8649
6 Ge 0.5000 0.5000 0.5000
7 Ir 0.5000 0.5000 0.0000

12.
## HfBe2Fe2 (PBE)

Data for a relaxed structure of HfBe2Fe2.

Values from the calculation:
* VASP energy: -6.981 eV per atom
* formation enthalpy at 0 K: -0.115 eV per atom
* crystal system: tetragonal
* E above lowest polymorph: 0.00 eV/f.u.

Lattice parameters (Å, degrees): 6.2830 6.2830 2.8695 90.00 90.00 90.00
Space group P4/mbm (No. 127)
Symmetry-distinct sites (fractional):
1 Hf 0.0000 0.0000 0.0000
2 Be 0.1152 0.3848 0.0000
3 Fe 0.1693 0.6693 0.5000

Values of size of the total moment, in order: 0.000 0.000 0.000 0.000 0.000 1.820 0.000 0.000 1.813 16.139 0.000 0.000, all in μB/cell.